## LaPm2Nd6Mg (PBE)

Data for crystalline LaPm2Nd6Mg at its relaxed geometry.

The calculated formation energy is 0.10 eV per atom. Its total energy is -87.33 eV for the cell shown. The space group is C2/c.

abc: 9.673 8.692 8.692
angles: 106.25 96.72 96.72
Sites, in units of the cell vectors:
La (0.250, 0.935, 0.065)
La (0.750, 0.065, 0.935)
Pm (0.407, 0.794, 0.731)
Pm (0.093, 0.269, 0.206)
Pm (0.593, 0.206, 0.269)
Pm (0.907, 0.731, 0.794)
Nd (0.075, 0.079, 0.731)
Nd (0.425, 0.269, 0.921)
Nd (0.925, 0.921, 0.269)
Nd (0.575, 0.731, 0.079)
Nd (0.329, 0.031, 0.463)
Nd (0.171, 0.537, 0.969)
Nd (0.671, 0.969, 0.537)
Nd (0.829, 0.463, 0.031)
Nd (0.095, 0.670, 0.434)
Nd (0.405, 0.566, 0.330)
Nd (0.905, 0.330, 0.566)
Nd (0.595, 0.434, 0.670)
Mg (0.250, 0.400, 0.600)
Mg (0.750, 0.600, 0.400)